CuHgPt2 GGA-PBEsol relaxed; calculated formation energy = 0.018 eV/atom; space-group type = P4mm; size of the total moment = 0.0 μB per cell; density of states at the Fermi level = 2.47 states/eV per cell; crystal system = tetragonal; E_tot = -4.69 eV/atom; volume = 60.98 Å³/cell
1.0
-1.123 -1.446 2.168
0.328 -2.420 -1.445
6.900 -0.857 3.004
Pt Hg Cu
2 1 1
direct
0.000 0.000 0.011 Pt
0.500 0.500 0.267 Pt
0.500 0.500 0.737 Hg
0.000 0.000 0.485 Cu